Here is a geometry-optimized TbLuIrAu structure from Alexandria via LeMat-Bulk. Energies are from PBE.

Results
The value obtained for the formation energy is -0.852 eV/atom.

Unit cell a=4.929 b=4.929 c=4.929 alpha=60.00 beta=60.00 gamma=60.00
Fractional positions:
1 Tb 0.000 0.000 0.000
2 Lu 0.500 0.500 0.500
3 Ir 0.250 0.250 0.250
4 Au 0.750 0.750 0.750

=====

Here is a geometry-optimized Bi2BRu structure from Alexandria via LeMat-Bulk. Energies are from PBE.

Results
The value obtained for the formation energy is 0.941 eV/atom.

Unit cell a=6.884 b=6.884 c=6.884 alpha=128.04 beta=128.04 gamma=76.56
Fractional positions:
1 Bi 0.090 0.625 0.965
2 Bi 0.375 0.340 0.465
3 Bi 0.660 0.125 0.035
4 Bi 0.875 0.910 0.535
5 B 0.000 0.000 0.000
6 B 0.750 0.250 0.500
7 Ru 0.250 0.750 0.500
8 Ru 0.500 0.500 0.000

=====

Here is a geometry-optimized PmPd3Au2 structure from Alexandria via LeMat-Bulk. Energies are from PBE.

Results
The value obtained for the formation energy is -0.562 eV/atom.

Unit cell a=6.748 b=6.748 c=4.029 alpha=90.00 beta=90.00 gamma=143.22
Fractional positions:
1 Pm 0.000 0.000 0.000
2 Pd 0.172 0.828 0.500
3 Pd 0.500 0.500 0.500
4 Pd 0.828 0.172 0.500
5 Au 0.332 0.668 0.000
6 Au 0.668 0.332 0.000

=====

Here is a geometry-optimized Er7MgAl4 structure from Alexandria via LeMat-Bulk. Energies are from PBE.

Results
The value obtained for the formation energy is -0.061 eV/atom.

Unit cell a=7.464 b=7.464 c=9.233 alpha=117.21 beta=117.21 gamma=43.70
Fractional positions:
1 Er 0.000 0.000 0.000
2 Er 0.246 0.246 0.710
3 Er 0.306 0.306 0.129
4 Er 0.417 0.417 0.575
5 Er 0.583 0.583 0.425
6 Er 0.694 0.694 0.871
7 Er 0.754 0.754 0.290
8 Mg 0.500 0.500 0.000
9 Al 0.027 0.027 0.672
10 Al 0.173 0.173 0.340
11 Al 0.827 0.827 0.660
12 Al 0.973 0.973 0.328

=====

Here is a geometry-optimized KLiSi2 structure from Alexandria via LeMat-Bulk. Energies are from PBE.

Results
The value obtained for the energy relative to the lowest polymorph listed for this composition is 13.2 meV per atom. The value obtained for the raw formation energy is 0.03 eV per atom.

Unit cell a=4.771 b=4.771 c=7.002 alpha=115.29 beta=115.29 gamma=46.64
Fractional positions:
1 K 0.000 0.000 0.000
2 Li 0.809 0.809 0.465
3 Si 0.160 0.160 0.609
4 Si 0.492 0.492 0.423

=====

Here is a geometry-optimized TmSeO3F structure from Alexandria via LeMat-Bulk. Energies are from PBE.

Results
The value obtained for the raw formation energy is -2.41 eV per atom.

Unit cell a=6.584 b=6.939 c=7.165 alpha=90.00 beta=98.12 gamma=90.00
Fractional positions:
1 Tm 0.138 0.142 0.326
2 Tm 0.138 0.358 0.826
3 Tm 0.862 0.642 0.174
4 Tm 0.862 0.858 0.674
5 Se 0.351 0.622 0.289
6 Se 0.351 0.878 0.789
7 Se 0.649 0.122 0.211
8 Se 0.649 0.378 0.711
9 O 0.172 0.028 0.647
10 O 0.172 0.472 0.147
11 O 0.174 0.690 0.777
12 O 0.174 0.810 0.277
13 O 0.481 0.188 0.361
14 O 0.481 0.312 0.861
15 O 0.519 0.688 0.139
16 O 0.519 0.812 0.639
17 O 0.826 0.190 0.723
18 O 0.826 0.310 0.223
19 O 0.828 0.528 0.853
20 O 0.828 0.972 0.353
21 F 0.164 0.122 0.028
22 F 0.164 0.378 0.528
23 F 0.836 0.622 0.472
24 F 0.836 0.878 0.972

=====

Total energy values, unit eV per formula unit, following the record order: -24.7 -20.0 -30.3 -49.2 -13.8 -39.1.
D(E_F) values, unit states/eV per cell, following the record order: 3.32 6.24 2.28 12.47 1.23 0.00.
Total moment values, unit μB/atom, following the record order: 0.000 0.000 0.000 0.000 0.000 0.000.